No. 1
# GGA-PBE NdUAl, relaxed
data_NdUAl
_space_group_name_H-M_alt 'P 1'
_space_group_IT_number 1
_space_group_name_Hall 'P 1'
_cell_length_a 3.6771
_cell_length_b 6.1848
_cell_length_c 13.8508
_cell_angle_alpha 90.00
_cell_angle_beta 90.00
_cell_angle_gamma 90.00
loop_
_atom_site_label
_atom_site_fract_x
_atom_site_fract_y
_atom_site_fract_z
Nd1 0.7500 0.1696 0.7191
Nd2 0.2500 0.6696 0.7809
Nd3 0.2500 0.8304 0.2809
Nd4 0.7500 0.3304 0.2191
U1 0.7500 0.0834 0.4518
U2 0.2500 0.5834 0.0482
U3 0.2500 0.9166 0.5482
U4 0.7500 0.4166 0.9518
Al1 0.7500 0.5940 0.4391
Al2 0.2500 0.0940 0.0609
Al3 0.2500 0.4060 0.5609
Al4 0.7500 0.9060 0.9391
# E_form, eV per atom: 0.0975
# Volume, Å³/f.u.: 78.7
# Space group: No. 62
# VASP energy, eV per cell: -78.0
# Size of the total moment, μB/atom: 0.002
# Mass density, Mg/m³: 8.63

=====

No. 2
# GGA-PBE Nd2AlV, relaxed
data_Nd2AlV
_space_group_name_H-M_alt 'P 1'
_space_group_IT_number 1
_space_group_name_Hall 'P 1'
_cell_length_a 3.3609
_cell_length_b 3.3609
_cell_length_c 11.0573
_cell_angle_alpha 81.26
_cell_angle_beta 81.26
_cell_angle_gamma 60.00
loop_
_atom_site_label
_atom_site_fract_x
_atom_site_fract_y
_atom_site_fract_z
Nd1 0.0896 0.0896 0.7311
Nd2 0.9104 0.9104 0.2689
Al1 0.5000 0.5000 0.5000
V1 0.0000 0.0000 0.0000
# E_form, eV per atom: 0.5730
# Volume, Å³/f.u.: 106.5
# Space group: No. 166
# VASP energy, eV per cell: -20.1
# Size of the total moment, μB/atom: 0.848
# Mass density, Mg/m³: 5.71

=====

No. 3
# GGA-PBE NdAl4V, relaxed
data_NdAl4V
_space_group_name_H-M_alt 'P 1'
_space_group_IT_number 1
_space_group_name_Hall 'P 1'
_cell_length_a 5.3958
_cell_length_b 5.3958
_cell_length_c 5.3958
_cell_angle_alpha 60.00
_cell_angle_beta 60.00
_cell_angle_gamma 60.00
loop_
_atom_site_label
_atom_site_fract_x
_atom_site_fract_y
_atom_site_fract_z
Nd1 0.2500 0.2500 0.2500
Al1 0.6255 0.6255 0.1236
Al2 0.6255 0.1236 0.6255
Al3 0.6255 0.6255 0.6255
Al4 0.1236 0.6255 0.6255
V1 0.0000 0.0000 0.0000
# E_form, eV per atom: -0.1507
# Volume, Å³/f.u.: 111.1
# Space group: No. 216
# VASP energy, eV per cell: -29.8
# Size of the total moment, μB/atom: 0.122
# Mass density, Mg/m³: 4.53

=====

No. 4
# GGA-PBE Nd6Al43W4, relaxed
data_Nd6Al43W4
_space_group_name_H-M_alt 'P 1'
_space_group_IT_number 1
_space_group_name_Hall 'P 1'
_cell_length_a 11.1098
_cell_length_b 11.1098
_cell_length_c 17.9030
_cell_angle_alpha 90.00
_cell_angle_beta 90.00
_cell_angle_gamma 120.00
loop_
_atom_site_label
_atom_site_fract_x
_atom_site_fract_y
_atom_site_fract_z
Nd1 0.5292 0.5292 0.5952
Nd2 0.0000 0.4708 0.5952
Nd3 0.4708 0.0000 0.5952
Nd4 0.4708 0.4708 0.4048
Nd5 0.0000 0.5292 0.4048
Nd6 0.5292 0.0000 0.4048
Nd7 0.4708 0.4708 0.0952
Nd8 0.0000 0.5292 0.0952
Nd9 0.5292 0.0000 0.0952
Nd10 0.5292 0.5292 0.9048
Nd11 0.0000 0.4708 0.9048
Nd12 0.4708 0.0000 0.9048
Al1 0.7650 0.1581 0.6652
Al2 0.3931 0.2350 0.6652
Al3 0.8419 0.6069 0.6652
Al4 0.1581 0.7650 0.6652
Al5 0.2350 0.3931 0.6652
Al6 0.6069 0.8419 0.6652
Al7 0.2350 0.8419 0.3348
Al8 0.6069 0.7650 0.3348
Al9 0.1581 0.3931 0.3348
Al10 0.8419 0.2350 0.3348
Al11 0.7650 0.6069 0.3348
Al12 0.3931 0.1581 0.3348
Al13 0.2350 0.8419 0.1652
Al14 0.6069 0.7650 0.1652
Al15 0.1581 0.3931 0.1652
Al16 0.8419 0.2350 0.1652
Al17 0.7650 0.6069 0.1652
Al18 0.3931 0.1581 0.1652
Al19 0.7650 0.1581 0.8348
Al20 0.3931 0.2350 0.8348
Al21 0.8419 0.6069 0.8348
Al22 0.1581 0.7650 0.8348
Al23 0.2350 0.3931 0.8348
Al24 0.6069 0.8419 0.8348
Al25 0.1593 0.1593 0.1148
Al26 0.0000 0.8407 0.1148
Al27 0.8407 0.0000 0.1148
Al28 0.8407 0.8407 0.8852
Al29 0.0000 0.1593 0.8852
Al30 0.1593 0.0000 0.8852
Al31 0.8407 0.8407 0.6148
Al32 0.0000 0.1593 0.6148
Al33 0.1593 0.0000 0.6148
Al34 0.1593 0.1593 0.3852
Al35 0.0000 0.8407 0.3852
Al36 0.8407 0.0000 0.3852
Al37 0.2514 0.2514 0.5312
Al38 0.0000 0.7486 0.5312
Al39 0.7486 0.0000 0.5312
Al40 0.7486 0.7486 0.4688
Al41 0.0000 0.2514 0.4688
Al42 0.2514 0.0000 0.4688
Al43 0.7486 0.7486 0.0312
Al44 0.0000 0.2514 0.0312
Al45 0.2514 0.0000 0.0312
Al46 0.2514 0.2514 0.9688
Al47 0.0000 0.7486 0.9688
Al48 0.7486 0.0000 0.9688
Al49 0.5511 0.1466 0.7500
Al50 0.5956 0.4489 0.7500
Al51 0.8534 0.4044 0.7500
Al52 0.1466 0.5511 0.7500
Al53 0.4489 0.5956 0.7500
Al54 0.4044 0.8534 0.7500
Al55 0.4489 0.8534 0.2500
Al56 0.4044 0.5511 0.2500
Al57 0.1466 0.5956 0.2500
Al58 0.8534 0.4489 0.2500
Al59 0.5511 0.4044 0.2500
Al60 0.5956 0.1466 0.2500
Al61 0.7537 0.2463 0.5000
Al62 0.4927 0.2463 0.5000
Al63 0.7537 0.5073 0.5000
Al64 0.2463 0.7537 0.5000
Al65 0.2463 0.4927 0.5000
Al66 0.5073 0.7537 0.5000
Al67 0.2463 0.7537 0.0000
Al68 0.5073 0.7537 0.0000
Al69 0.2463 0.4927 0.0000
Al70 0.7537 0.2463 0.0000
Al71 0.7537 0.5073 0.0000
Al72 0.4927 0.2463 0.0000
Al73 0.6667 0.3333 0.6265
Al74 0.3333 0.6667 0.6265
Al75 0.3333 0.6667 0.3735
Al76 0.6667 0.3333 0.3735
Al77 0.3333 0.6667 0.1265
Al78 0.6667 0.3333 0.1265
Al79 0.6667 0.3333 0.8735
Al80 0.3333 0.6667 0.8735
Al81 0.1475 0.1475 0.7500
Al82 0.0000 0.8525 0.7500
Al83 0.8525 0.0000 0.7500
Al84 0.8525 0.8525 0.2500
Al85 0.0000 0.1475 0.2500
Al86 0.1475 0.0000 0.2500
W1 0.7316 0.7316 0.7500
W2 0.0000 0.2684 0.7500
W3 0.2684 0.0000 0.7500
W4 0.2684 0.2684 0.2500
W5 0.0000 0.7316 0.2500
W6 0.7316 0.0000 0.2500
W7 0.0000 0.0000 0.5000
W8 0.0000 0.0000 0.0000
# E_form, eV per atom: -0.2746
# Volume, Å³/f.u.: 956.8
# Space group: No. 193
# VASP energy, eV per cell: -511.8
# Size of the total moment, μB/atom: 0.000
# Mass density, Mg/m³: 4.79

=====

No. 5
# GGA-PBE Nd2AlW, relaxed
data_Nd2AlW
_space_group_name_H-M_alt 'P 1'
_space_group_IT_number 1
_space_group_name_Hall 'P 1'
_cell_length_a 3.1363
_cell_length_b 3.1363
_cell_length_c 11.4303
_cell_angle_alpha 82.11
_cell_angle_beta 82.11
_cell_angle_gamma 60.00
loop_
_atom_site_label
_atom_site_fract_x
_atom_site_fract_y
_atom_site_fract_z
Nd1 0.0865 0.0865 0.7406
Nd2 0.9135 0.9135 0.2594
Al1 0.5000 0.5000 0.5000
W1 0.0000 0.0000 0.0000
# E_form, eV per atom: 0.7818
# Volume, Å³/f.u.: 96.1
# Space group: No. 166
# VASP energy, eV per cell: -23.1
# Size of the total moment, μB/atom: 0.000
# Mass density, Mg/m³: 8.62

=====

No. 6
# GGA-PBE NdY2Al, relaxed
data_NdY2Al
_space_group_name_H-M_alt 'P 1'
_space_group_IT_number 1
_space_group_name_Hall 'P 1'
_cell_length_a 3.6209
_cell_length_b 3.6209
_cell_length_c 10.7431
_cell_angle_alpha 80.30
_cell_angle_beta 80.30
_cell_angle_gamma 60.00
loop_
_atom_site_label
_atom_site_fract_x
_atom_site_fract_y
_atom_site_fract_z
Nd1 0.5004 0.5004 0.4989
Y1 0.0709 0.0709 0.7872
Y2 0.2624 0.2624 0.2129
Al1 0.6663 0.6663 0.0010
# Energy above the lowest structure with this stoichiometry, meV/atom: 125.5
# E_form, eV per atom: -0.0819
# Volume, Å³/f.u.: 119.7
# Space group: No. 160
# VASP energy, eV per cell: -21.8
# Size of the total moment, μB/atom: 0.000
# Mass density, Mg/m³: 4.84

=====

No. 7
# GGA-PBE Nd2Y2Al3, relaxed
data_Nd2Y2Al3
_space_group_name_H-M_alt 'P 1'
_space_group_IT_number 1
_space_group_name_Hall 'P 1'
_cell_length_a 3.6103
_cell_length_b 3.5891
_cell_length_c 14.5252
_cell_angle_alpha 90.00
_cell_angle_beta 82.86
_cell_angle_gamma 90.00
loop_
_atom_site_label
_atom_site_fract_x
_atom_site_fract_y
_atom_site_fract_z
Nd1 0.6909 0.5000 0.6182
Nd2 0.3091 0.5000 0.3818
Y1 0.5622 0.5000 0.8756
Y2 0.4378 0.5000 0.1244
Al1 0.8745 0.0000 0.2511
Al2 0.0000 0.0000 0.0000
Al3 0.1255 0.0000 0.7489
# E_form, eV per atom: -0.2990
# Volume, Å³/f.u.: 186.8
# Space group: No. 65
# VASP energy, eV per cell: -35.8
# Size of the total moment, μB/atom: 0.000
# Mass density, Mg/m³: 4.87

=====

No. 8
# GGA-PBE NdY2Al9, relaxed
data_NdY2Al9
_space_group_name_H-M_alt 'P 1'
_space_group_IT_number 1
_space_group_name_Hall 'P 1'
_cell_length_a 5.6106
_cell_length_b 5.6106
_cell_length_c 9.3540
_cell_angle_alpha 72.55
_cell_angle_beta 72.55
_cell_angle_gamma 60.00
loop_
_atom_site_label
_atom_site_fract_x
_atom_site_fract_y
_atom_site_fract_z
Nd1 0.0000 0.0000 0.0000
Y1 0.8582 0.8582 0.4253
Y2 0.1418 0.1418 0.5747
Al1 0.6644 0.6644 0.0068
Al2 0.3356 0.3356 0.9932
Al3 0.5000 0.5000 0.5000
Al4 0.4124 0.4124 0.2512
Al5 0.9239 0.4124 0.2512
Al6 0.4124 0.9239 0.2512
Al7 0.5876 0.5876 0.7488
Al8 0.5876 0.0761 0.7488
Al9 0.0761 0.5876 0.7488
# E_form, eV per atom: -0.3943
# Volume, Å³/f.u.: 239.2
# Space group: No. 166
# VASP energy, eV per cell: -56.1
# Size of the total moment, μB/atom: 0.000
# Mass density, Mg/m³: 3.92

=====

No. 9
# GGA-PBE Nd12Y5Al2, relaxed
data_Nd12Y5Al2
_space_group_name_H-M_alt 'P 1'
_space_group_IT_number 1
_space_group_name_Hall 'P 1'
_cell_length_a 8.1021
_cell_length_b 9.8788
_cell_length_c 9.0368
_cell_angle_alpha 73.33
_cell_angle_beta 90.00
_cell_angle_gamma 114.21
loop_
_atom_site_label
_atom_site_fract_x
_atom_site_fract_y
_atom_site_fract_z
Nd1 0.9497 0.8993 0.1686
Nd2 0.0617 0.7254 0.8659
Nd3 0.6637 0.7254 0.8659
Nd4 0.0804 0.6924 0.4697
Nd5 0.6120 0.6924 0.4697
Nd6 0.4795 0.9589 0.6924
Nd7 0.5205 0.0411 0.3076
Nd8 0.9196 0.3076 0.5303
Nd9 0.3880 0.3076 0.5303
Nd10 0.9383 0.2746 0.1341
Nd11 0.3363 0.2746 0.1341
Nd12 0.0503 0.1007 0.8314
Y1 0.2484 0.4969 0.7826
Y2 0.3167 0.6335 0.1647
Y3 0.0000 0.0000 0.5000
Y4 0.6833 0.3665 0.8353
Y5 0.7516 0.5031 0.2174
Al1 0.6608 0.0000 0.0000
Al2 0.3392 0.0000 0.0000
# E_form, eV per atom: 0.0522
# Volume, Å³/f.u.: 626.2
# Space group: No. 12
# VASP energy, eV per cell: -96.0
# Size of the total moment, μB/atom: 0.000
# Mass density, Mg/m³: 5.91

=====

What is the formula in the fifth record?
Nd2AlW